[1]
{"formula": "Mg3SiAg", "functional": "PBE", "state": "relaxed", "lattice_angstrom": [[5.013, 0.000, 0.000], [0.000, 5.013, 0.000], [0.000, 0.000, 5.013]], "species": ["Mg", "Mg", "Mg", "Si", "Ag"], "fractional_positions": [[0.000, 0.000, 0.500], [0.000, 0.500, 0.000], [0.500, 0.000, 0.000], [0.500, 0.500, 0.500], [0.000, 0.000, 0.000]], "polymorph_energy_ev_per_atom": 0.2142, "sg": "Pm-3m", "crystal_system": "cubic"}

[2]
{"formula": "Sr2GaSnO6", "functional": "PBE", "state": "relaxed", "lattice_angstrom": [[2.857, 1.650, 9.765], [-2.857, 1.650, 9.765], [0.000, -3.299, 9.765]], "species": ["Sr", "Sr", "Sr", "Sr", "Ga", "Ga", "Sn", "Sn", "O", "O", "O", "O", "O", "O", "O", "O", "O", "O", "O", "O"], "fractional_positions": [[0.135, 0.135, 0.135], [0.282, 0.282, 0.282], [0.718, 0.718, 0.718], [0.865, 0.865, 0.865], [0.000, 0.000, 0.000], [0.500, 0.500, 0.500], [0.409, 0.409, 0.409], [0.591, 0.591, 0.591], [0.138, 0.618, 0.618], [0.200, 0.200, 0.719], [0.200, 0.719, 0.200], [0.281, 0.800, 0.800], [0.382, 0.382, 0.862], [0.382, 0.862, 0.382], [0.618, 0.138, 0.618], [0.618, 0.618, 0.138], [0.719, 0.200, 0.200], [0.800, 0.281, 0.800], [0.800, 0.800, 0.281], [0.862, 0.382, 0.382]], "sg": "R-3m", "crystal_system": "trigonal"}

[3]
{"formula": "NaAc3C4O12", "functional": "PBE", "state": "relaxed", "lattice_angstrom": [[5.246, 3.029, 3.617], [-5.246, 3.029, 3.617], [0.000, -6.058, 3.617]], "species": ["Na", "Ac", "Ac", "Ac", "C", "C", "C", "C", "O", "O", "O", "O", "O", "O", "O", "O", "O", "O", "O", "O"], "fractional_positions": [[0.000, 0.000, 0.000], [0.000, 0.524, 0.476], [0.476, 0.000, 0.524], [0.524, 0.476, 0.000], [0.007, 0.500, 0.993], [0.500, 0.500, 0.500], [0.500, 0.993, 0.007], [0.993, 0.007, 0.500], [0.056, 0.184, 0.496], [0.119, 0.881, 0.500], [0.184, 0.496, 0.056], [0.376, 0.624, 0.500], [0.496, 0.056, 0.184], [0.500, 0.119, 0.881], [0.500, 0.376, 0.624], [0.504, 0.816, 0.944], [0.624, 0.500, 0.376], [0.816, 0.944, 0.504], [0.881, 0.500, 0.119], [0.944, 0.504, 0.816]], "sg": "R32", "crystal_system": "trigonal"}

no.,raw total energy (eV per cell)
1,-10.763
2,-120.052
3,-150.598